The following is a PBE+U calculation of a relaxed FeAgPO4 crystal, from Alexandria via LeMat-Bulk.

Values from the calculation:
Raw total energy, eV/cell: -89.30

Lattice parameters (Å, degrees): 5.4139 5.9558 6.6733 90.00 108.25 90.00
Last column: nearest neighbours and their distance in Å.
Fractional coordinates of all 14 atoms:
Fe 0.8071 0.7500 0.4999  4 O 2.08-2.19
Fe 0.1929 0.2500 0.5001  4 O 2.08-2.19
Ag 0.4151 0.7500 0.9042  2 O 2.13-2.15
Ag 0.5849 0.2500 0.0958  2 O 2.13-2.15
P 0.2564 0.7500 0.3641  4 O 1.55-1.57
P 0.7436 0.2500 0.6359  4 O 1.55-1.57
O 0.9264 0.4568 0.6715  1 P 1.55
O 0.0736 0.9568 0.3285  1 P 1.55
O 0.0736 0.5432 0.3285  1 P 1.55
O 0.9264 0.0432 0.6715  1 P 1.55
O 0.4489 0.7500 0.2314  1 P 1.56
O 0.5511 0.2500 0.7686  1 P 1.56
O 0.4536 0.7500 0.5935  1 P 1.57
O 0.5464 0.2500 0.4065  1 P 1.57